# Tl7VS6

A geometry-optimized Tl7VS6 structure (PBE-GGA, Alexandria via LeMat-Bulk).

Unit cell a=7.6157 b=11.5834 c=11.5834 alpha=72.88 beta=70.81 gamma=70.81
Closest atoms and distances in Å follow each position.
Fractional positions:
S (0.8491, 0.4104, 0.2346)  1 V 2.17
Tl (0.9175, 0.6714, 0.0949)  3 S 2.99-3.10
S (0.3491, 0.7346, 0.9104)  1 V 2.17
Tl (0.7485, 0.5202, 0.4798)  1 S 2.84
S (0.4941, 0.7654, 0.5896)  1 V 2.17
Tl (0.7515, 0.0202, 0.9798)  1 S 2.84
Tl (0.2500, 0.2500, 0.2500)  4 S 3.04
S (0.9941, 0.0896, 0.2654)  1 V 2.17
Tl (0.8162, 0.1714, 0.5949)  3 S 2.99-3.10
S (0.4967, 0.1709, 0.8291)  5 Tl 2.84-3.06
V (0.2500, 0.7500, 0.7500)  4 S 2.17
S (0.9967, 0.3291, 0.6709)  5 Tl 2.84-3.06
Tl (0.5825, 0.4051, 0.8286)  3 S 2.99-3.10
V (0.7500, 0.2500, 0.2500)  4 S 2.17
S (0.5059, 0.2346, 0.4104)  1 V 2.17
Tl (0.2515, 0.4798, 0.5202)  1 S 2.84
Tl (0.0825, 0.3286, 0.9051)  3 S 2.99-3.10
Tl (0.1838, 0.8286, 0.4051)  3 S 2.99-3.10
Tl (0.6838, 0.9051, 0.3286)  3 S 2.99-3.10
Tl (0.2485, 0.9798, 0.0202)  1 S 2.84
S (0.1509, 0.5896, 0.7654)  1 V 2.17
S (0.5033, 0.8291, 0.1709)  5 Tl 2.84-3.06
Tl (0.7500, 0.7500, 0.7500)  4 S 3.04
S (0.0059, 0.9104, 0.7346)  1 V 2.17
S (0.0033, 0.6709, 0.3291)  5 Tl 2.84-3.06
Tl (0.3162, 0.0949, 0.6714)  3 S 2.99-3.10
S (0.6509, 0.2654, 0.0896)  1 V 2.17
Tl (0.4175, 0.5949, 0.1714)  3 S 2.99-3.10

Calculated values
- Total energy: -113.6 eV for the cell shown
- Space-group type: Ibam
- M_tot: 0.00 μB/cell